# NiP2Cl | Alexandria via LeMat-Bulk | PBE-GGA | optimized geometry
data_NiP2Cl
_chemical_formula_sum 'Ni2 P4 Cl2'
_symmetry_space_group_name_H-M 'C m m m'
_symmetry_Int_Tables_number 65
_symmetry_space_group_name_Hall '-C 2 2'
_cell_length_a 4.409
_cell_length_b 12.138
_cell_length_c 2.605
_cell_angle_alpha 90.00
_cell_angle_beta 90.00
_cell_angle_gamma 90.00
loop_
_atom_site_label
_atom_site_type_symbol
_atom_site_fract_x
_atom_site_fract_y
_atom_site_fract_z
Ni1 Ni 0.000 0.000 0.000
P1 P 0.250 0.250 0.500
Cl1 Cl 0.000 0.500 0.000
# Calculated density, g cm⁻³: 3.7
# Density of states at the Fermi level, states/eV per atom: 1.052
# Excess energy over the best structure of this formula in the dataset, meV/atom: 783

# Ac3In3Ge | Alexandria via LeMat-Bulk | PBE-GGA | optimized geometry
data_Ac3In3Ge
_chemical_formula_sum 'Ac12 In12 Ge4'
_symmetry_space_group_name_H-M 'C 1 2/m 1'
_symmetry_Int_Tables_number 12
_symmetry_space_group_name_Hall '-C 2y'
_cell_length_a 12.389
_cell_length_b 4.785
_cell_length_c 16.076
_cell_angle_alpha 90.00
_cell_angle_beta 106.86
_cell_angle_gamma 90.00
loop_
_atom_site_label
_atom_site_type_symbol
_atom_site_fract_x
_atom_site_fract_y
_atom_site_fract_z
Ac1 Ac 0.003 0.000 0.384
Ac2 Ac 0.115 0.000 0.925
Ac3 Ac 0.226 0.000 0.234
In1 In 0.003 0.500 0.229
In2 In 0.103 0.500 0.078
In3 In 0.163 0.500 0.539
Ge1 Ge 0.211 0.500 0.372
# DFT formation energy, meV per atom: -472
# Calculated density, g cm⁻³: 8.0
# Density of states at the Fermi level, states/eV per atom: 0.684

# MgHgPb | Alexandria via LeMat-Bulk | PBE-GGA | optimized geometry
data_MgHgPb
_chemical_formula_sum 'Mg2 Hg2 Pb2'
_symmetry_space_group_name_H-M 'P 63/m m c'
_symmetry_Int_Tables_number 194
_symmetry_space_group_name_Hall '-P 6c 2c'
_cell_length_a 5.1712
_cell_length_b 5.1712
_cell_length_c 6.7081
_cell_angle_alpha 90.00
_cell_angle_beta 90.00
_cell_angle_gamma 120.00
loop_
_atom_site_label
_atom_site_type_symbol
_atom_site_fract_x
_atom_site_fract_y
_atom_site_fract_z
Mg1 Mg 0.3333 0.6667 0.2500
Hg1 Hg 0.3333 0.6667 0.7500
Pb1 Pb 0.0000 0.0000 0.0000
# DFT formation energy, meV per atom: -28
# Calculated density, g cm⁻³: 9.2
# Density of states at the Fermi level, states/eV per atom: 0.436

# Tb2PdAu | Alexandria via LeMat-Bulk | PBE-GGA | optimized geometry
data_Tb2PdAu
_chemical_formula_sum 'Tb2 Pd1 Au1'
_symmetry_space_group_name_H-M 'P 4/m m m'
_symmetry_Int_Tables_number 123
_symmetry_space_group_name_Hall '-P 4 2'
_cell_length_a 3.559
_cell_length_b 3.559
_cell_length_c 7.196
_cell_angle_alpha 90.00
_cell_angle_beta 90.00
_cell_angle_gamma 90.00
loop_
_atom_site_label
_atom_site_type_symbol
_atom_site_fract_x
_atom_site_fract_y
_atom_site_fract_z
Tb1 Tb 0.000 0.000 0.245
Pd1 Pd 0.500 0.500 0.000
Au1 Au 0.500 0.500 0.500
# DFT formation energy, meV per atom: -855
# Calculated density, g cm⁻³: 11.3
# Density of states at the Fermi level, states/eV per atom: 0.799

# Ho6C3Cl2 | Alexandria via LeMat-Bulk | PBE-GGA | optimized geometry
data_Ho6C3Cl2
_chemical_formula_sum 'Ho12 C6 Cl4'
_symmetry_space_group_name_H-M 'C 1 2/m 1'
_symmetry_Int_Tables_number 12
_symmetry_space_group_name_Hall '-C 2y'
_cell_length_a 6.319
_cell_length_b 10.936
_cell_length_c 6.740
_cell_angle_alpha 90.00
_cell_angle_beta 108.23
_cell_angle_gamma 90.00
loop_
_atom_site_label
_atom_site_type_symbol
_atom_site_fract_x
_atom_site_fract_y
_atom_site_fract_z
Ho1 Ho 0.228 0.000 0.202
Ho2 Ho 0.237 0.336 0.201
C1 C 0.000 0.168 0.000
C2 C 0.000 0.500 0.000
Cl1 Cl 0.000 0.333 0.500
# Calculated density, g cm⁻³: 8.2
# Density of states at the Fermi level, states/eV per atom: 0.333
# DFT total energy, eV/atom: -6.236

# ErVCu | Alexandria via LeMat-Bulk | PBE-GGA | optimized geometry
data_ErVCu
_chemical_formula_sum 'Er2 V2 Cu2'
_symmetry_space_group_name_H-M 'P 4/m m m'
_symmetry_Int_Tables_number 123
_symmetry_space_group_name_Hall '-P 4 2'
_cell_length_a 3.428
_cell_length_b 3.428
_cell_length_c 9.437
_cell_angle_alpha 90.00
_cell_angle_beta 90.00
_cell_angle_gamma 90.00
loop_
_atom_site_label
_atom_site_type_symbol
_atom_site_fract_x
_atom_site_fract_y
_atom_site_fract_z
Er1 Er 0.000 0.000 0.184
V1 V 0.500 0.500 0.396
Cu1 Cu 0.000 0.000 0.500
Cu2 Cu 0.500 0.500 0.000
# DFT formation energy, meV per atom: 141
# Calculated density, g cm⁻³: 8.4
# Density of states at the Fermi level, states/eV per atom: 1.243

Number 1: size of the total moment 0.3 μB/f.u.. Number 2: size of the total moment 0.0 μB/f.u.. Number 3: size of the total moment 0.0 μB/f.u.. Number 4: size of the total moment 0.0 μB/f.u.. Number 5: size of the total moment 0.0 μB/f.u.. Number 6: size of the total moment 0.0 μB/f.u..